Entry 1:
# Li2Cd3Ag (PBE, optimized geometry)
data_Li2Cd3Ag
_space_group_name_H-M_alt 'P m m 2'
_space_group_IT_number 25
_cell_length_a 2.976
_cell_length_b 4.833
_cell_length_c 8.433
_cell_angle_alpha 90.00
_cell_angle_beta 90.00
_cell_angle_gamma 90.00
loop_
_space_group_symop_operation_xyz
'x,y,z'
'-x,-y,z'
'-x,y,z'
'x,-y,z'
loop_
_atom_site_label
_atom_site_type_symbol
_atom_site_fract_x
_atom_site_fract_y
_atom_site_fract_z
Li1 Li 0.000 0.000 0.000
Li2 Li 0.000 0.500 0.484
Cd1 Cd 0.500 0.000 0.650
Cd2 Cd 0.500 0.500 0.163
Cd3 Cd 0.500 0.500 0.826
Ag1 Ag 0.500 0.000 0.323
# Energy above the lowest structure with this stoichiometry = 48 meV per atom
# Energy of formation = -156 meV/atom
# Magnetization = 0.00 μB/f.u.

***

Entry 2:
# Li2Cd6Ag3 (PBE, optimized geometry)
data_Li2Cd6Ag3
_space_group_name_H-M_alt 'I 4/m m m'
_space_group_IT_number 139
_space_group_name_Hall '-I 4 2'
_cell_length_a 4.026
_cell_length_b 4.026
_cell_length_c 29.319
_cell_angle_alpha 90.00
_cell_angle_beta 90.00
_cell_angle_gamma 90.00
loop_
_atom_site_label
_atom_site_type_symbol
_atom_site_fract_x
_atom_site_fract_y
_atom_site_fract_z
Li1 Li 0.000 0.000 0.042
Cd1 Cd 0.000 0.000 0.215
Cd2 Cd 0.000 0.500 0.111
Ag1 Ag 0.000 0.000 0.313
Ag2 Ag 0.000 0.000 0.500
# Energy above the lowest structure with this stoichiometry = 195 meV per atom
# Energy of formation = 60 meV/atom
# Magnetization = 0.00 μB/f.u.

***

Entry 3:
# Li7Cd6Ag16 (PBE, optimized geometry)
data_Li7Cd6Ag16
_space_group_name_H-M_alt 'F m -3 m'
_space_group_IT_number 225
_space_group_name_Hall '-F 4 2 3'
_cell_length_a 12.738
_cell_length_b 12.738
_cell_length_c 12.738
_cell_angle_alpha 90.00
_cell_angle_beta 90.00
_cell_angle_gamma 90.00
loop_
_atom_site_label
_atom_site_type_symbol
_atom_site_fract_x
_atom_site_fract_y
_atom_site_fract_z
Li1 Li 0.000 0.000 0.000
Li2 Li 0.000 0.250 0.250
Cd1 Cd 0.000 0.000 0.294
Ag1 Ag 0.117 0.117 0.117
Ag2 Ag 0.164 0.164 0.336
# Energy of formation = -106 meV/atom
# Magnetization = 0.00 μB/f.u.

***

Entry 4:
# LiCd12Ag7 (PBE, optimized geometry)
data_LiCd12Ag7
_space_group_name_H-M_alt 'R -3'
_space_group_IT_number 148
_space_group_name_Hall '-R 3'
_cell_length_a 12.5983
_cell_length_b 12.5983
_cell_length_c 8.9830
_cell_angle_alpha 90.00
_cell_angle_beta 90.00
_cell_angle_gamma 120.00
loop_
_atom_site_label
_atom_site_type_symbol
_atom_site_fract_x
_atom_site_fract_y
_atom_site_fract_z
Li1 Li 0.0000 0.0000 0.0000
Cd1 Cd 0.0494 0.8448 0.2426
Cd2 Cd 0.0527 0.8064 0.5834
Ag1 Ag 0.0000 0.0000 0.5000
Ag2 Ag 0.0631 0.8233 0.9214
# Energy above the lowest structure with this stoichiometry = 0 meV per atom
# Energy of formation = -46 meV/atom
# Magnetization = 0.00 μB/f.u.

***

Entry 5:
# LiCd8Ag2 (PBE, optimized geometry)
data_LiCd8Ag2
_space_group_name_H-M_alt 'C 1 2/m 1'
_space_group_IT_number 12
_cell_length_a 15.403
_cell_length_b 4.444
_cell_length_c 6.978
_cell_angle_alpha 90.00
_cell_angle_beta 108.53
_cell_angle_gamma 90.00
loop_
_space_group_symop_operation_xyz
'x,y,z'
'-x,-y,-z'
'-x,y,-z'
'x,-y,z'
'x+1/2,y+1/2,z'
'-x+1/2,-y+1/2,-z'
'-x+1/2,y+1/2,-z'
'x+1/2,-y+1/2,z'
loop_
_atom_site_label
_atom_site_type_symbol
_atom_site_fract_x
_atom_site_fract_y
_atom_site_fract_z
Li1 Li 0.000 0.000 0.000
Cd1 Cd 0.045 0.500 0.734
Cd2 Cd 0.095 0.000 0.458
Cd3 Cd 0.138 0.500 0.191
Cd4 Cd 0.180 0.000 0.912
Ag1 Ag 0.230 0.500 0.642
# Energy above the lowest structure with this stoichiometry = 0 meV per atom
# Energy of formation = -66 meV/atom
# Magnetization = 0.00 μB/f.u.

***

Entry 6:
# Li5Cd4Ag3 (PBE, optimized geometry)
data_Li5Cd4Ag3
_space_group_name_H-M_alt 'C 1 2/m 1'
_space_group_IT_number 12
_cell_length_a 13.395
_cell_length_b 4.907
_cell_length_c 7.908
_cell_angle_alpha 90.00
_cell_angle_beta 120.15
_cell_angle_gamma 90.00
loop_
_space_group_symop_operation_xyz
'x,y,z'
'-x,-y,-z'
'-x,y,-z'
'x,-y,z'
'x+1/2,y+1/2,z'
'-x+1/2,-y+1/2,-z'
'-x+1/2,y+1/2,-z'
'x+1/2,-y+1/2,z'
loop_
_atom_site_label
_atom_site_type_symbol
_atom_site_fract_x
_atom_site_fract_y
_atom_site_fract_z
Li1 Li 0.000 0.000 0.000
Li2 Li 0.069 0.500 0.722
Li3 Li 0.175 0.500 0.361
Cd1 Cd 0.079 0.000 0.426
Cd2 Cd 0.209 0.000 0.872
Ag1 Ag 0.000 0.500 0.000
Ag2 Ag 0.223 0.000 0.252
# Energy of formation = -133 meV/atom
# Magnetization = 0.00 μB/f.u.